1.
Computed, not measured: an optimized crystal structure of PrHoAlNi at the GGA-PBE level of DFT.

magnetization: 0.00 μB/f.u.
formation enthalpy at 0 K: -237 meV per atom

Unit cell a=7.1690 b=7.1690 c=7.1690 alpha=90.00 beta=90.00 gamma=90.00
Last column: nearest neighbours and their distance in Å.
Space group F-43m (No. 216)
One atom of each set of equivalent atoms:
1 Pr 0.0000 0.0000 0.0000 [4 per cell]  4 Ni 3.10, 4 Al 3.10
2 Ho 0.0000 0.0000 0.5000 [4 per cell]  4 Al 3.10, 4 Ni 3.10
3 Al 0.2500 0.2500 0.2500 [4 per cell]  4 Pr 3.10, 4 Ho 3.10
4 Ni 0.2500 0.2500 0.7500 [4 per cell]  4 Ho 3.10, 4 Pr 3.10

2.
Computed, not measured: an optimized crystal structure of Ho2Al4NiPt3 at the GGA-PBE level of DFT.

magnetization: 0.00 μB/f.u.
formation enthalpy at 0 K: -1004 meV per atom

Unit cell a=4.0752 b=4.0752 c=10.8371 alpha=90.00 beta=90.00 gamma=90.00
Last column: nearest neighbours and their distance in Å.
Space group P-4m2 (No. 115)
One atom of each set of equivalent atoms:
1 Ho 0.0000 0.5000 0.2473 [2 per cell]  6 Pt 3.12-3.37, 8 Al 3.16-3.41, 2 Ni 3.37
2 Al 0.0000 0.0000 0.5000 [1 per cell]  4 Pt 2.55
3 Al 0.0000 0.5000 0.8731 [2 per cell]  2 Ni 2.46, 3 Pt 2.46-2.51
4 Al 0.5000 0.5000 0.5000 [1 per cell]  4 Pt 2.55
5 Ni 0.5000 0.5000 0.0000 [1 per cell]  4 Al 2.46
6 Pt 0.0000 0.0000 0.0000 [1 per cell]  4 Al 2.46
7 Pt 0.0000 0.5000 0.6417 [2 per cell]  5 Al 2.51-2.55

3.
Computed, not measured: an optimized crystal structure of Ho2Al3NiPt4 at the GGA-PBE level of DFT.

magnetization: 0.00 μB/f.u.
formation enthalpy at 0 K: -1005 meV per atom

Unit cell a=4.0496 b=4.0496 c=10.9695 alpha=90.00 beta=90.00 gamma=90.00
Last column: nearest neighbours and their distance in Å.
Space group P-4m2 (No. 115)
One atom of each set of equivalent atoms:
1 Ho 0.0000 0.5000 0.2369 [2 per cell]  4 Pt 3.04, 6 Al 3.20-3.29, 2 Ni 3.29
2 Al 0.0000 0.0000 0.0000 [1 per cell]  4 Pt 2.57, 4 Ni 2.86
3 Al 0.0000 0.5000 0.6330 [2 per cell]  5 Pt 2.45-2.50
4 Ni 0.5000 0.5000 0.0000 [1 per cell]  4 Pt 2.57, 4 Al 2.86
5 Pt 0.0000 0.0000 0.5000 [1 per cell]  4 Al 2.50
6 Pt 0.0000 0.5000 0.8561 [2 per cell]  3 Al 2.45-2.57, 2 Ni 2.57
7 Pt 0.5000 0.5000 0.5000 [1 per cell]  4 Al 2.50

4.
Computed, not measured: an optimized crystal structure of HoAl2Ni2Pt at the GGA-PBE level of DFT.

magnetization: 0.00 μB/f.u.
formation enthalpy at 0 K: -244 meV per atom

Unit cell a=4.6305 b=4.6305 c=5.3331 alpha=90.00 beta=90.00 gamma=90.00
Last column: nearest neighbours and their distance in Å.
Space group P4/mmm (No. 123)
One atom of each set of equivalent atoms:
1 Ho 0.0000 0.0000 0.0000 [1 per cell]  2 Pt 2.67
2 Al 0.0000 0.5000 0.5000 [2 per cell]  2 Pt 2.32
3 Ni 0.5000 0.5000 0.2403 [2 per cell]  2 Ni 2.56-2.77, 4 Al 2.70
4 Pt 0.0000 0.0000 0.5000 [1 per cell]  4 Al 2.32

5.
Computed, not measured: an optimized crystal structure of HoAlNiRu at the GGA-PBE level of DFT.

magnetization: 0.00 μB/f.u.
formation enthalpy at 0 K: -458 meV per atom

Unit cell a=6.3527 b=6.3527 c=6.3527 alpha=90.00 beta=90.00 gamma=90.00
Last column: nearest neighbours and their distance in Å.
Space group F-43m (No. 216)
One atom of each set of equivalent atoms:
1 Ho 0.0000 0.0000 0.0000 [4 per cell]  4 Ru 2.75, 4 Ni 2.75
2 Al 0.0000 0.0000 0.5000 [4 per cell]  4 Ru 2.75, 4 Ni 2.75
3 Ni 0.2500 0.2500 0.2500 [4 per cell]  4 Ho 2.75, 4 Al 2.75
4 Ru 0.2500 0.2500 0.7500 [4 per cell]  4 Ho 2.75, 4 Al 2.75

6.
Computed, not measured: an optimized crystal structure of Ho2AlSi2Ni5 at the GGA-PBE level of DFT.

magnetization: 0.00 μB/f.u.
E_form (uncorrected): -524 meV per atom

Unit cell a=9.8042 b=9.8042 c=3.0395 alpha=90.00 beta=90.00 gamma=90.00
Last column: nearest neighbours and their distance in Å.
Space group P4/mbm (No. 127)
One atom of each set of equivalent atoms:
1 Ho 0.1764 0.3236 0.0000 [4 per cell]  3 Si 2.76-2.99, 10 Ni 2.88-3.05, 2 Ho 3.04
2 Al 0.0000 0.0000 0.0000 [2 per cell]  8 Ni 2.57
3 Si 0.1246 0.6246 0.0000 [4 per cell]  6 Ni 2.30-2.36
4 Ni 0.0000 0.5000 0.5000 [2 per cell]  4 Si 2.30
5 Ni 0.0559 0.7955 0.5000 [8 per cell]  2 Si 2.36, 2 Al 2.57